[1]
{"formula": "CrRe2Ge", "functional": "PBE", "state": "relaxed", "lattice": [[-1.8651, 1.8651, 9.1683], [1.8651, -1.8651, 9.1683], [1.8651, 1.8651, -9.1683]], "species": ["Cr", "Cr", "Re", "Re", "Re", "Re", "Ge", "Ge"], "frac_coords": [[0.0000, 0.0000, 0.0000], [0.7500, 0.2500, 0.5000], [0.1578, 0.6250, 0.0328], [0.3750, 0.4078, 0.5328], [0.5922, 0.1250, 0.9672], [0.8750, 0.8422, 0.4672], [0.2500, 0.7500, 0.5000], [0.5000, 0.5000, 0.0000]], "vol_a3_per_cell": 128, "spacegroup": "I-42d", "total_magnetization_mub_per_fu": 1.71, "delta_e_f_ev_per_atom": 0.7076}

---

[2]
{"formula": "Cr2ReGe2", "functional": "PBE", "state": "relaxed", "lattice": [[6.6484, 0.0000, 0.0000], [0.0000, 6.6484, 0.0000], [0.0000, 0.0000, 3.1534]], "species": ["Cr", "Cr", "Cr", "Cr", "Re", "Re", "Ge", "Ge", "Ge", "Ge"], "frac_coords": [[0.1227, 0.3773, 0.0000], [0.3773, 0.8773, 0.0000], [0.6227, 0.1227, 0.0000], [0.8773, 0.6227, 0.0000], [0.0000, 0.0000, 0.0000], [0.5000, 0.5000, 0.0000], [0.1759, 0.6759, 0.5000], [0.3241, 0.1759, 0.5000], [0.6759, 0.8241, 0.5000], [0.8241, 0.3241, 0.5000]], "vol_a3_per_cell": 139, "spacegroup": "P4/mbm", "total_magnetization_mub_per_fu": 0.00, "de_polymorph_mev_per_atom": 225, "delta_e_f_ev_per_atom": 0.4413}